The following is a PBE calculation of LiPmAu after structural relaxation, from the Alexandria database.

Cell and atoms, written as POSCAR:
```
LiPmAu
1.0
4.137 0.000 0.000
0.000 6.572 -3.794
0.000 0.000 7.589
Li Pm Au
3 3 3
direct
0.000 0.765 0.765
0.000 0.000 0.235
0.000 0.235 0.000
0.500 0.410 0.410
0.500 0.590 0.000
0.500 0.000 0.590
0.000 0.667 0.333
0.000 0.333 0.667
0.500 0.000 0.000
```

Formation energy from the elements = -0.5879 eV per atom
Calculated density = 8.4 Mg/m³
Raw total energy = -11.71 eV per formula unit
M_tot = 0.0 μB/f.u.
Volume = 69 Å³/f.u.
Energy above the lowest structure with this stoichiometry = 0.00 eV/f.u.
Space group = P-62m